Material: Nd2Y2CI3Br2
Method: DFT, PBE-GGA
State: optimized geometry

Calculated values
Its energy above the lowest structure with this stoichiometry is 0.05 eV/f.u. The calculation puts the spin magnetization at 0.21 μB per formula unit. As for the crystal system: monoclinic.

a b c (Å): 9.606 9.606 8.566
angles (deg): 102.81 102.81 23.81
Sites, in units of the cell vectors:
Nd: 0.362 0.362 0.926
Nd: 0.638 0.638 0.074
Y: 0.000 0.000 0.809
Y: 0.000 0.000 0.191
Br: 0.156 0.156 0.338
Br: 0.844 0.844 0.662
I: 0.168 0.168 0.807
I: 0.500 0.500 0.500
I: 0.832 0.832 0.193
C: 0.500 0.500 0.000